An optimized crystal structure of Fe2SiRuAu, computed with PBE.

For the raw formation energy, the calculation gives 1.44 eV/atom. The calculation puts the total energy at -0.4073 Ry/atom.

Cell lengths 4.5039, 4.5039, 5.0850 Å; angles 90.00, 90.00, 90.00 degrees
With the nearest neighbours (Å) after each atom.
Space group P4/mmm (No. 123)
Symmetry-distinct sites (fractional):
Fe  0.0000  0.5000  0.0000 (multiplicity 2)  2 Ru 2.25
Si  0.0000  0.0000  0.5000 (multiplicity 1)  4 Au 3.18, 8 Fe 3.40
Ru  0.5000  0.5000  0.0000 (multiplicity 1)  4 Fe 2.25
Au  0.5000  0.5000  0.5000 (multiplicity 1)  2 Ru 2.54